Record 1
LaMnNbC3: relaxed, PBE.

Cell lengths 7.2535, 3.3660, 7.5178 Å; angles 90.00, 105.65, 90.00 degrees
Fractional positions:
La 0.1919 0.2500 0.2076
La 0.8081 0.7500 0.7924
Mn 0.0958 0.2500 0.6065
Mn 0.9042 0.7500 0.3935
Nb 0.3534 0.7500 0.8581
Nb 0.6466 0.2500 0.1419
C 0.1236 0.2500 0.8516
C 0.1651 0.7500 0.5357
C 0.4478 0.7500 0.1495
C 0.5522 0.2500 0.8505
C 0.8349 0.2500 0.4643
C 0.8764 0.7500 0.1484

**Raw total energy**: -8.68 eV per atom
**M_tot**: 0.00 μB per formula unit
**E_form**: -0.037 eV per atom
**Space-group type**: No. 11

***

Record 2
La2MnNiC: relaxed, PBE.

Cell lengths 5.2640, 5.2640, 3.7699 Å; angles 90.00, 90.00, 90.00 degrees
Fractional positions:
La 0.0000 0.5000 0.0000
La 0.5000 0.0000 0.0000
Mn 0.0000 0.0000 0.5000
Ni 0.5000 0.5000 0.5000
C 0.0000 0.0000 0.0000

**Raw total energy**: -6.86 eV per atom
**M_tot**: 2.42 μB per formula unit
**E_form**: -0.055 eV per atom
**Space-group type**: No. 123

***

Record 3
LaMn2OsC: relaxed, PBE.

Cell lengths 3.9583, 3.9583, 5.1627 Å; angles 90.00, 90.00, 90.00 degrees
Fractional positions:
La 0.0000 0.0000 0.0000
Mn 0.0000 0.5000 0.5000
Mn 0.5000 0.0000 0.5000
Os 0.5000 0.5000 0.0000
C 0.0000 0.0000 0.5000

**Raw total energy**: -8.29 eV per atom
**M_tot**: 6.05 μB per formula unit
**E_form**: 0.454 eV per atom
**Space-group type**: No. 123

***

Record 4
La2MnPdC: relaxed, PBE.

Cell lengths 5.3207, 5.3207, 3.7975 Å; angles 90.00, 90.00, 90.00 degrees
Fractional positions:
La 0.0000 0.5000 0.0000
La 0.5000 0.0000 0.0000
Mn 0.0000 0.0000 0.5000
Pd 0.5000 0.5000 0.5000
C 0.0000 0.0000 0.0000

**Raw total energy**: -6.99 eV per atom
**M_tot**: 2.35 μB per formula unit
**E_form**: -0.304 eV per atom
**Space-group type**: No. 123

***

Which formula does entry 2 have? La2MnNiC

***

Look up the E_form of the third one. 0.454 eV per atom

***

Copy entry 4 word for word.
La2MnPdC: relaxed, PBE.

Cell lengths 5.3207, 5.3207, 3.7975 Å; angles 90.00, 90.00, 90.00 degrees
Fractional positions:
La 0.0000 0.5000 0.0000
La 0.5000 0.0000 0.0000
Mn 0.0000 0.0000 0.5000
Pd 0.5000 0.5000 0.5000
C 0.0000 0.0000 0.0000

**Raw total energy**: -6.99 eV per atom
**M_tot**: 2.35 μB per formula unit
**E_form**: -0.304 eV per atom
**Space-group type**: No. 123

***

What is the formula in the third record? LaMn2OsC